(1)
CaCeTm2: relaxed, PBE.

Unit cell a=5.703 b=5.703 c=5.703 alpha=60.00 beta=60.00 gamma=60.00
Sites, in units of the cell vectors:
Ca 0.000 0.000 0.000
Ce 0.500 0.500 0.500
Tm 0.250 0.250 0.250
Tm 0.750 0.750 0.750

Calculated volume ... 131.2 Å³ per cell
E_tot ... -15.93 eV/cell
M_tot ... 1.7 μB/f.u.
Calculated formation energy ... 0.24 eV per atom
E above lowest polymorph ... 13.8 kJ per mole of atoms

***

(2)
Pr2CuBr: relaxed, PBE.

Unit cell a=7.802 b=7.802 c=7.802 alpha=31.30 beta=31.30 gamma=31.30
Sites, in units of the cell vectors:
Pr 0.240 0.240 0.240
Pr 0.760 0.760 0.760
Cu 0.500 0.500 0.500
Br 0.000 0.000 0.000

Calculated volume ... 113.8 Å³ per cell
E_tot ... -17.91 eV/cell
M_tot ... 0.0 μB/f.u.
Formation energy without anion corrections ... -646.1 meV/atom
E above lowest polymorph ... 0.0 kJ per mole of atoms

***

(3)
InSi2NiPb: relaxed, PBE.

Unit cell a=5.237 b=5.237 c=5.726 alpha=90.00 beta=90.00 gamma=90.00
Sites, in units of the cell vectors:
In 0.000 0.000 0.000
Si 0.000 0.500 0.500
Si 0.500 0.000 0.500
Ni 0.500 0.500 0.000
Pb 0.000 0.000 0.500

Calculated volume ... 157.1 Å³ per cell
E_tot ... -14.58 eV/cell
M_tot ... 0.0 μB/f.u.
Formation energy without anion corrections ... 1699.6 meV/atom

***

(4)
TlPAu2N: relaxed, PBE.

Unit cell a=5.402 b=5.402 c=3.961 alpha=90.00 beta=90.00 gamma=90.00
Sites, in units of the cell vectors:
Tl 0.000 0.000 0.000
P 0.500 0.500 0.500
Au 0.000 0.500 0.000
Au 0.500 0.000 0.000
N 0.000 0.000 0.500

Calculated volume ... 115.6 Å³ per cell
E_tot ... -14.02 eV/cell
M_tot ... 0.0 μB/f.u.
Formation energy without anion corrections ... 1726.4 meV/atom

***

(5)
Nd5BiTe4: relaxed, PBE.

Unit cell a=7.832 b=7.832 c=7.832 alpha=99.60 beta=99.60 gamma=131.81
Sites, in units of the cell vectors:
Nd 0.000 0.000 0.000
Nd 0.199 0.400 0.599
Nd 0.400 0.801 0.201
Nd 0.600 0.199 0.799
Nd 0.801 0.600 0.401
Bi 0.500 0.500 0.000
Te 0.101 0.700 0.801
Te 0.300 0.101 0.401
Te 0.700 0.899 0.599
Te 0.899 0.300 0.199

Calculated volume ... 326.9 Å³ per cell
E_tot ... -53.66 eV/cell
M_tot ... 0.0 μB/f.u.
Formation energy without anion corrections ... -1337.6 meV/atom

***

(6)
Pm2Nd3SmTe6: relaxed, PBE.

Unit cell a=10.001 b=10.001 c=8.998 alpha=102.79 beta=102.79 gamma=25.77
Sites, in units of the cell vectors:
Pm 0.167 0.167 0.333
Pm 0.833 0.833 0.667
Nd 0.167 0.167 0.833
Nd 0.500 0.500 0.500
Nd 0.833 0.833 0.167
Sm 0.500 0.500 0.000
Te 0.000 0.000 0.247
Te 0.000 0.000 0.753
Te 0.333 0.333 0.419
Te 0.335 0.335 0.916
Te 0.665 0.665 0.084
Te 0.667 0.667 0.581

Calculated volume ... 381.1 Å³ per cell
E_tot ... -64.32 eV/cell
M_tot ... 0.0 μB/f.u.
Formation energy without anion corrections ... -1412.0 meV/atom

***

(7)
CdAgAu2: relaxed, PBE.

Unit cell a=4.211 b=4.211 c=4.188 alpha=90.00 beta=90.00 gamma=90.00
Sites, in units of the cell vectors:
Cd 0.000 0.000 0.000
Ag 0.500 0.500 0.000
Au 0.000 0.500 0.500
Au 0.500 0.000 0.500

Calculated volume ... 74.3 Å³ per cell
E_tot ... -10.81 eV/cell
M_tot ... 0.0 μB/f.u.
Calculated formation energy ... -0.12 eV per atom

***

(8)
KNiPb2: relaxed, PBE.

Unit cell a=8.475 b=8.475 c=8.475 alpha=156.17 beta=151.42 gamma=37.55
Sites, in units of the cell vectors:
K 0.000 0.000 0.000
Ni 0.786 0.286 0.500
Pb 0.317 0.817 0.500
Pb 0.658 0.658 0.000

Calculated volume ... 117.5 Å³ per cell
E_tot ... -13.95 eV/cell
M_tot ... 0.0 μB/f.u.
Calculated formation energy ... 0.09 eV per atom

***

(9)
Li2LaBe: relaxed, PBE.

Unit cell a=3.480 b=3.986 c=6.574 alpha=90.00 beta=105.16 gamma=90.00
Sites, in units of the cell vectors:
Li 0.000 0.000 0.000
Li 0.449 0.500 0.899
La 0.731 0.000 0.467
Be 0.116 0.500 0.234

Calculated volume ... 88.0 Å³ per cell
E_tot ... -11.46 eV/cell
M_tot ... 0.0 μB/f.u.
Calculated formation energy ... 0.26 eV per atom

***

(10)
NdMg3Cu: relaxed, PBE.

Unit cell a=7.537 b=7.537 c=4.354 alpha=90.00 beta=90.00 gamma=112.31
Sites, in units of the cell vectors:
Nd 0.209 0.791 0.000
Nd 0.791 0.209 0.000
Mg 0.000 0.000 0.500
Mg 0.178 0.431 0.500
Mg 0.431 0.178 0.500
Mg 0.500 0.500 0.000
Mg 0.569 0.822 0.500
Mg 0.822 0.569 0.500
Cu 0.188 0.188 0.000
Cu 0.812 0.812 0.000

Calculated volume ... 228.8 Å³ per cell
E_tot ... -28.65 eV/cell
M_tot ... 0.0 μB/f.u.
Calculated formation energy ... -0.14 eV per atom
E above lowest polymorph ... 0.0 kJ per mole of atoms

***

(11)
Ag4Ru: relaxed, PBE.

Unit cell a=5.055 b=5.055 c=5.055 alpha=90.00 beta=90.00 gamma=90.00
Sites, in units of the cell vectors:
Ag 0.000 0.000 0.000
Ag 0.000 0.500 0.500
Ag 0.500 0.000 0.500
Ag 0.500 0.500 0.000
Ru 0.500 0.500 0.500

Calculated volume ... 129.2 Å³ per cell
E_tot ... -14.19 eV/cell
M_tot ... 2.2 μB/f.u.
Calculated formation energy ... 1.30 eV per atom
E above lowest polymorph ... 84.5 kJ per mole of atoms

***

(12)
V2Cr2Cd: relaxed, PBE.

Unit cell a=7.028 b=7.028 c=2.988 alpha=90.00 beta=90.00 gamma=90.00
Sites, in units of the cell vectors:
V 0.150 0.350 0.000
V 0.350 0.850 0.000
V 0.650 0.150 0.000
V 0.850 0.650 0.000
Cr 0.136 0.636 0.500
Cr 0.364 0.136 0.500
Cr 0.636 0.864 0.500
Cr 0.864 0.364 0.500
Cd 0.000 0.000 0.500
Cd 0.500 0.500 0.500

Calculated volume ... 147.6 Å³ per cell
E_tot ... -72.85 eV/cell
M_tot ... 1.9 μB/f.u.
Calculated formation energy ... 0.39 eV per atom